1.
Density functional theory data (GGA-PBE) for a geometry-optimized CsPmAu2I6 structure.

Summary:
E_tot in eV per atom: -3.023

Geometry as CIF:
```
data_CsPmAu2I6
_space_group_name_H-M_alt 'P 1'
_space_group_IT_number 1
_cell_length_a 7.746
_cell_length_b 7.773
_cell_length_c 8.301
_cell_angle_alpha 100.74
_cell_angle_beta 102.41
_cell_angle_gamma 93.92
loop_
_space_group_symop_operation_xyz
'x,y,z'
loop_
_atom_site_label
_atom_site_type_symbol
_atom_site_fract_x
_atom_site_fract_y
_atom_site_fract_z
Cs1 Cs 0.000 0.000 0.000
Pm1 Pm 0.414 0.447 0.439
Au1 Au 0.053 0.497 0.705
Au2 Au 0.613 0.979 0.298
I1 I 0.130 0.549 0.181
I2 I 0.213 0.128 0.494
I3 I 0.346 0.706 0.752
I4 I 0.527 0.215 0.119
I5 I 0.735 0.743 0.463
I6 I 0.747 0.327 0.694
```

=====

2.
Density functional theory data (GGA-PBE) for a geometry-optimized Cs2PmAuI6 structure.

Summary:
E_tot in eV per atom: -3.082

Geometry as CIF:
```
data_Cs2PmAuI6
_space_group_name_H-M_alt 'P -1'
_space_group_IT_number 2
_cell_length_a 8.446
_cell_length_b 8.700
_cell_length_c 8.703
_cell_angle_alpha 113.42
_cell_angle_beta 112.72
_cell_angle_gamma 101.67
loop_
_space_group_symop_operation_xyz
'x,y,z'
'-x,-y,-z'
loop_
_atom_site_label
_atom_site_type_symbol
_atom_site_fract_x
_atom_site_fract_y
_atom_site_fract_z
Cs1 Cs 0.249 0.250 0.498
Pm1 Pm 0.000 0.500 0.000
Au1 Au 0.500 0.000 0.000
I1 I 0.196 0.860 0.002
I2 I 0.227 0.723 0.454
I3 I 0.287 0.337 0.999
```

=====

3.
Density functional theory data (GGA-PBE) for a geometry-optimized Cs2PrAuI6 structure.

Summary:
E_tot in eV per atom: -3.084

Geometry as CIF:
```
data_Cs2PrAuI6
_space_group_name_H-M_alt 'P -1'
_space_group_IT_number 2
_cell_length_a 8.435
_cell_length_b 8.713
_cell_length_c 8.777
_cell_angle_alpha 113.44
_cell_angle_beta 101.43
_cell_angle_gamma 112.58
loop_
_space_group_symop_operation_xyz
'x,y,z'
'-x,-y,-z'
loop_
_atom_site_label
_atom_site_type_symbol
_atom_site_fract_x
_atom_site_fract_y
_atom_site_fract_z
Cs1 Cs 0.249 0.001 0.253
Pr1 Pr 0.500 0.500 0.000
Au1 Au 0.000 0.500 0.500
I1 I 0.205 0.493 0.161
I2 I 0.275 0.043 0.772
I3 I 0.305 0.500 0.640
```

=====

4.
Density functional theory data (GGA-PBE) for a geometry-optimized CsPrAu2I6 structure.

Summary:
E_tot in eV per atom: -3.028

Geometry as CIF:
```
data_CsPrAu2I6
_space_group_name_H-M_alt 'P 1'
_space_group_IT_number 1
_cell_length_a 7.772
_cell_length_b 7.790
_cell_length_c 8.322
_cell_angle_alpha 102.46
_cell_angle_beta 100.37
_cell_angle_gamma 92.52
loop_
_space_group_symop_operation_xyz
'x,y,z'
loop_
_atom_site_label
_atom_site_type_symbol
_atom_site_fract_x
_atom_site_fract_y
_atom_site_fract_z
Cs1 Cs 0.000 0.000 0.000
Pr1 Pr 0.443 0.410 0.430
Au1 Au 0.491 0.053 0.702
Au2 Au 0.981 0.603 0.293
I1 I 0.116 0.223 0.488
I2 I 0.213 0.523 0.105
I3 I 0.318 0.753 0.684
I4 I 0.545 0.113 0.175
I5 I 0.695 0.342 0.753
I6 I 0.744 0.726 0.460
```

=====

5.
Density functional theory data (GGA-PBE) for a geometry-optimized Cs6PtAu2I structure.

Summary:
E_tot in eV per atom: -2.345

Geometry as CIF:
```
data_Cs6PtAu2I
_space_group_name_H-M_alt 'P 1 21/c 1'
_space_group_IT_number 14
_cell_length_a 8.982
_cell_length_b 9.576
_cell_length_c 15.562
_cell_angle_alpha 90.00
_cell_angle_beta 120.82
_cell_angle_gamma 90.00
loop_
_space_group_symop_operation_xyz
'x,y,z'
'-x,-y,-z'
'-x,y+1/2,-z+1/2'
'x,-y+1/2,z+1/2'
loop_
_atom_site_label
_atom_site_type_symbol
_atom_site_fract_x
_atom_site_fract_y
_atom_site_fract_z
Cs1 Cs 0.085 0.199 0.424
Cs2 Cs 0.208 0.674 0.410
Cs3 Cs 0.377 0.065 0.224
Pt1 Pt 0.000 0.000 0.000
Au1 Au 0.192 0.095 0.734
I1 I 0.500 0.000 0.500
```

=====

6.
Density functional theory data (GGA-PBE) for a geometry-optimized Cs2PuAuI6 structure.

Summary:
E_tot in eV per atom: -3.873

Geometry as CIF:
```
data_Cs2PuAuI6
_space_group_name_H-M_alt 'F m m m'
_space_group_IT_number 69
_space_group_name_Hall '-F 2 2'
_cell_length_a 12.201
_cell_length_b 12.215
_cell_length_c 12.239
_cell_angle_alpha 90.00
_cell_angle_beta 90.00
_cell_angle_gamma 90.00
loop_
_atom_site_label
_atom_site_type_symbol
_atom_site_fract_x
_atom_site_fract_y
_atom_site_fract_z
Cs1 Cs 0.250 0.250 0.250
Pu1 Pu 0.000 0.000 0.000
Au1 Au 0.000 0.000 0.500
I1 I 0.000 0.000 0.252
I2 I 0.000 0.247 0.500
I3 I 0.247 0.000 0.500
```

=====

7.
Density functional theory data (GGA-PBE) for a geometry-optimized CsPuAuI6 structure.

Summary:
E_tot in eV per atom: -3.894

Geometry as CIF:
```
data_CsPuAuI6
_space_group_name_H-M_alt 'C 1 2 1'
_space_group_IT_number 5
_cell_length_a 7.589
_cell_length_b 16.069
_cell_length_c 8.013
_cell_angle_alpha 90.00
_cell_angle_beta 96.93
_cell_angle_gamma 90.00
loop_
_space_group_symop_operation_xyz
'x,y,z'
'-x,y,-z'
'x+1/2,y+1/2,z'
'-x+1/2,y+1/2,-z'
loop_
_atom_site_label
_atom_site_type_symbol
_atom_site_fract_x
_atom_site_fract_y
_atom_site_fract_z
Cs1 Cs 0.000 0.000 0.000
Pu1 Pu 0.000 0.322 0.500
Au1 Au 0.000 0.691 0.500
I1 I 0.199 0.187 0.309
I2 I 0.202 0.455 0.351
I3 I 0.238 0.805 0.194
```

=====

8.
Density functional theory data (GGA-PBE) for a geometry-optimized Cs3PuAu2I9 structure.

Summary:
E_tot in eV per atom: -3.387

Geometry as CIF:
```
data_Cs3PuAu2I9
_space_group_name_H-M_alt 'P -3 m 1'
_space_group_IT_number 164
_space_group_name_Hall '-P 3 2"'
_cell_length_a 8.5234
_cell_length_b 8.5234
_cell_length_c 10.4736
_cell_angle_alpha 90.00
_cell_angle_beta 90.00
_cell_angle_gamma 120.00
loop_
_atom_site_label
_atom_site_type_symbol
_atom_site_fract_x
_atom_site_fract_y
_atom_site_fract_z
Cs1 Cs 0.0000 0.0000 0.0000
Cs2 Cs 0.3333 0.6667 0.6822
Pu1 Pu 0.0000 0.0000 0.5000
Au1 Au 0.3333 0.6667 0.1414
I1 I 0.0000 0.5000 0.0000
I2 I 0.1693 0.3387 0.3322
```

=====

9.
Density functional theory data (GGA-PBE) for a geometry-optimized CsPuAuI5 structure.

Summary:
E_tot in eV per atom: -4.203

Geometry as CIF:
```
data_CsPuAuI5
_space_group_name_H-M_alt 'C 1 2/c 1'
_space_group_IT_number 15
_cell_length_a 10.433
_cell_length_b 13.524
_cell_length_c 11.533
_cell_angle_alpha 90.00
_cell_angle_beta 103.51
_cell_angle_gamma 90.00
loop_
_space_group_symop_operation_xyz
'x,y,z'
'-x,-y,-z'
'-x,y,-z+1/2'
'x,-y,z+1/2'
'x+1/2,y+1/2,z'
'-x+1/2,-y+1/2,-z'
'-x+1/2,y+1/2,-z+1/2'
'x+1/2,-y+1/2,z+1/2'
loop_
_atom_site_label
_atom_site_type_symbol
_atom_site_fract_x
_atom_site_fract_y
_atom_site_fract_z
Cs1 Cs 0.000 0.087 0.250
Pu1 Pu 0.000 0.500 0.000
Au1 Au 0.000 0.316 0.750
I1 I 0.000 0.404 0.250
I2 I 0.142 0.299 0.595
I3 I 0.223 0.078 0.992
```

=====

10.
Density functional theory data (GGA-PBE) for a geometry-optimized Cs2RbAuI structure.

Summary:
E_tot in eV per atom: -2.083

Geometry as CIF:
```
data_Cs2RbAuI
_space_group_name_H-M_alt 'P 4/m m m'
_space_group_IT_number 123
_space_group_name_Hall '-P 4 2'
_cell_length_a 6.869
_cell_length_b 6.869
_cell_length_c 6.682
_cell_angle_alpha 90.00
_cell_angle_beta 90.00
_cell_angle_gamma 90.00
loop_
_atom_site_label
_atom_site_type_symbol
_atom_site_fract_x
_atom_site_fract_y
_atom_site_fract_z
Cs1 Cs 0.000 0.500 0.000
Rb1 Rb 0.000 0.000 0.500
Au1 Au 0.000 0.000 0.000
I1 I 0.500 0.500 0.500
```

=====

11.
Density functional theory data (GGA-PBE) for a geometry-optimized CsRb2AuI structure.

Summary:
E_tot in eV per atom: -2.085

Geometry as CIF:
```
data_CsRb2AuI
_space_group_name_H-M_alt 'P 4/m m m'
_space_group_IT_number 123
_space_group_name_Hall '-P 4 2'
_cell_length_a 6.653
_cell_length_b 6.653
_cell_length_c 6.864
_cell_angle_alpha 90.00
_cell_angle_beta 90.00
_cell_angle_gamma 90.00
loop_
_atom_site_label
_atom_site_type_symbol
_atom_site_fract_x
_atom_site_fract_y
_atom_site_fract_z
Cs1 Cs 0.000 0.000 0.000
Rb1 Rb 0.000 0.500 0.500
Au1 Au 0.000 0.000 0.500
I1 I 0.500 0.500 0.000
```

=====

Ordered calculated density results: 4995; 4629; 4557; 4922; 4372; 5347; 4572; 5490; 5073; 3557; 3431; unit kg/m³.
Ordered ΔE_f (raw) results: -0.88; -1.18; -1.18; -0.88; -0.42; -1.01; -0.81; -0.89; -0.93; -0.58; -0.56; unit eV/atom.